No. 1
Computed, not measured: an optimized crystal structure of Cs2PtSe2O6 at the PBE-GGA level of DFT.

a = 5.4451 Å, b = 7.4980 Å, c = 7.7999 Å
α = 118.44°, β = 90.00°, γ = 111.29°
Last column: nearest neighbours and their distance in Å.
Sites, in units of the cell vectors:
1 Se 0.9756 0.9512 0.2039  3 O 1.68-1.77
2 Se 0.0244 0.0488 0.7961  3 O 1.68-1.77
3 O 0.8843 0.7686 0.6606  1 Se 1.68
4 O 0.1157 0.2314 0.3394  1 Se 1.68
5 O 0.6698 0.8472 0.2728  1 Se 1.77
6 O 0.1774 0.8472 0.2728  1 Se 1.77
7 O 0.3302 0.1528 0.7272  1 Se 1.77
8 O 0.8226 0.1528 0.7272  1 Se 1.77
9 Cs 0.2924 0.5848 0.7643  5 O 2.95-3.28
10 Cs 0.7076 0.4152 0.2357  5 O 2.95-3.28
11 Pt 0.5000 0.0000 0.5000  4 O 2.04

Properties
The calculation puts the volume at 255.0 Å³ per cell. Its uncorrected energy is -5.105 eV/atom. Its space group is C2/m, No. 12. Its spin magnetization is 0.00 μB per formula unit. The calculation puts the uncorrected formation energy at -1.0627 eV per atom.

=====

No. 2
Computed, not measured: an optimized crystal structure of Cs3Sm3PtO8 at the PBE-GGA level of DFT.

a = 7.0612 Å, b = 7.0611 Å, c = 8.0484 Å
α = 116.04°, β = 90.00°, γ = 120.00°
Last column: nearest neighbours and their distance in Å.
Sites, in units of the cell vectors:
1 Cs 0.0000 0.0000 0.0000  6 O 3.08-3.10
2 Cs 0.5000 0.5000 0.0000  6 O 3.08-3.10
3 Cs 0.0000 0.5000 0.0000  6 O 3.08-3.10
4 O 0.2039 0.9527 0.6564  1 Pt 2.15, 2 Sm 2.40
5 O 0.2787 0.5573 0.3361  3 Sm 2.33
6 O 0.7960 0.5921 0.3435  1 Pt 2.15, 2 Sm 2.40
7 O 0.2040 0.4079 0.6565  1 Pt 2.15, 2 Sm 2.40
8 O 0.2513 0.0473 0.3436  1 Pt 2.15, 2 Sm 2.40
9 O 0.7213 0.4427 0.6639  3 Sm 2.33
10 O 0.7961 0.0473 0.3436  1 Pt 2.15, 2 Sm 2.40
11 O 0.7487 0.9527 0.6564  1 Pt 2.15, 2 Sm 2.40
12 Sm 0.5000 0.0000 0.5000  6 O 2.33-2.40
13 Sm 0.5000 0.5000 0.5000  6 O 2.33-2.40
14 Sm 0.0000 0.5000 0.5000  6 O 2.33-2.40
15 Pt 0.0000 0.0000 0.5000  6 O 2.15

Properties
The calculation puts the volume at 299.6 Å³ per cell. Its uncorrected energy is -6.303 eV/atom. Its space group is R-3m, No. 166. Its spin magnetization is 0.00 μB per formula unit. The calculation puts the uncorrected formation energy at -2.1416 eV per atom.

=====

No. 3
Computed, not measured: an optimized crystal structure of Cs2Sm2PtO6 at the PBE-GGA level of DFT.

a = 5.9823 Å, b = 5.9823 Å, c = 7.2177 Å
α = 97.23°, β = 97.23°, γ = 119.50°
Last column: nearest neighbours and their distance in Å.
Sites, in units of the cell vectors:
1 O 0.2512 0.2512 0.3408  1 Pt 2.12, 2 Sm 2.37
2 O 0.0452 0.3510 0.6559  1 Pt 2.13, 2 Sm 2.36-2.37
3 O 0.9548 0.6490 0.3441  1 Pt 2.13, 2 Sm 2.36-2.37
4 O 0.3510 0.0452 0.6559  1 Pt 2.13, 2 Sm 2.36-2.37
5 O 0.7488 0.7488 0.6592  1 Pt 2.12, 2 Sm 2.37
6 O 0.6490 0.9548 0.3441  1 Pt 2.13, 2 Sm 2.36-2.37
7 Cs 0.8353 0.1647 0.0000  6 O 3.01-3.28
8 Cs 0.1647 0.8353 0.0000  6 O 3.01-3.28
9 Pt 0.0000 0.0000 0.5000  6 O 2.12-2.13
10 Sm 0.6650 0.3350 0.5000  6 O 2.36-2.37
11 Sm 0.3350 0.6650 0.5000  6 O 2.36-2.37

Properties
The calculation puts the volume at 217.7 Å³ per cell. Its uncorrected energy is -6.266 eV/atom. Its space group is C2/m, No. 12. Its spin magnetization is 0.00 μB per formula unit. The calculation puts the uncorrected formation energy at -1.9995 eV per atom.

=====

No. 4
Computed, not measured: an optimized crystal structure of CsSn2PtO at the PBE-GGA level of DFT.

a = 5.1390 Å, b = 5.4821 Å, c = 5.1390 Å
α = 90.00°, β = 90.00°, γ = 90.00°
Last column: nearest neighbours and their distance in Å.
Sites, in units of the cell vectors:
1 Sn 0.0000 0.0000 0.5000  2 Pt 2.57
2 Sn 0.5000 0.0000 0.0000  2 Pt 2.57
3 O 0.0000 0.5000 0.0000  2 Pt 2.74
4 Pt 0.0000 0.0000 0.0000  4 Sn 2.57, 2 O 2.74
5 Cs 0.5000 0.5000 0.5000  4 O 3.63, 8 Sn 3.76

Properties
The calculation puts the volume at 144.8 Å³ per cell. Its uncorrected energy is -3.812 eV/atom. Its space group is P4/mmm, No. 123. Its spin magnetization is 0.00 μB per formula unit. The calculation puts the uncorrected formation energy at 0.1596 eV per atom.

=====

No. 5
Computed, not measured: an optimized crystal structure of Cs3Sr2PtO6 at the PBE-GGA level of DFT.

a = 6.3027 Å, b = 6.3027 Å, c = 7.0365 Å
α = 98.47°, β = 98.47°, γ = 119.93°
Last column: nearest neighbours and their distance in Å.
Sites, in units of the cell vectors:
1 O 0.9428 0.6664 0.8317  1 Pt 2.08
2 O 0.7785 0.7785 0.1737  1 Pt 2.11
3 O 0.2215 0.2215 0.8263  1 Pt 2.11
4 O 0.3336 0.0572 0.1683  1 Pt 2.08
5 O 0.0572 0.3336 0.1683  1 Pt 2.08
6 O 0.6664 0.9428 0.8317  1 Pt 2.08
7 Cs 0.8342 0.1658 0.5000  4 O 2.93-2.96
8 Cs 0.5000 0.5000 0.5000  6 O 2.96-3.28
9 Cs 0.1658 0.8342 0.5000  4 O 2.93-2.96
10 Pt 0.0000 0.0000 0.0000  6 O 2.08-2.11
11 Sr 0.6666 0.3334 0.0000  6 O 2.56-2.57
12 Sr 0.3334 0.6666 0.0000  6 O 2.56-2.57

Properties
The calculation puts the volume at 231.5 Å³ per cell. Its uncorrected energy is -4.971 eV/atom. Its space group is C2/m, No. 12. Its spin magnetization is 1.07 μB per formula unit. The calculation puts the uncorrected formation energy at -1.4951 eV per atom.

=====

No. 6
Computed, not measured: an optimized crystal structure of CsSrPtO2 at the PBE-GGA level of DFT.

a = 5.0238 Å, b = 7.6255 Å, c = 7.7943 Å
α = 119.29°, β = 90.00°, γ = 90.00°
Last column: nearest neighbours and their distance in Å.
Sites, in units of the cell vectors:
1 O 0.2939 0.4041 0.8083  1 Pt 1.97
2 O 0.2939 0.0959 0.1917  1 Pt 1.97
3 O 0.7061 0.9041 0.8083  1 Pt 1.97
4 O 0.7061 0.5959 0.1917  1 Pt 1.97
5 Pt 0.0000 0.0000 0.0000  2 O 1.97
6 Pt 0.0000 0.5000 0.0000  2 O 1.97
7 Sr 0.5000 0.7500 0.0000  4 O 2.53
8 Sr 0.5000 0.2500 0.0000  4 O 2.53
9 Cs 0.2033 0.7500 0.5000  4 O 3.26-3.28, 2 Pt 3.55
10 Cs 0.7967 0.2500 0.5000  4 O 3.26-3.28, 2 Pt 3.55

Properties
The calculation puts the volume at 260.4 Å³ per cell. Its uncorrected energy is -5.082 eV/atom. Its space group is Cmme, No. 67. Its spin magnetization is 1.01 μB per formula unit. The calculation puts the uncorrected formation energy at -1.3837 eV per atom.

=====

No. 7
Computed, not measured: an optimized crystal structure of Cs2Tb2PtO6 at the PBE-GGA level of DFT.

a = 5.8892 Å, b = 5.8892 Å, c = 7.2013 Å
α = 97.28°, β = 97.28°, γ = 119.55°
Last column: nearest neighbours and their distance in Å.
Sites, in units of the cell vectors:
1 Tb 0.3348 0.6652 0.5000  6 O 2.31-2.32
2 Tb 0.6652 0.3348 0.5000  6 O 2.31-2.32
3 Cs 0.8346 0.1654 0.0000  6 O 3.02-3.23, 1 Cs 3.37
4 Cs 0.1654 0.8346 0.0000  6 O 3.02-3.23, 1 Cs 3.37
5 O 0.0463 0.3571 0.6553  1 Pt 2.12, 2 Tb 2.31-2.32
6 O 0.7430 0.7430 0.6573  1 Pt 2.12, 2 Tb 2.32
7 O 0.6429 0.9537 0.3447  1 Pt 2.12, 2 Tb 2.31-2.32
8 O 0.9537 0.6429 0.3447  1 Pt 2.12, 2 Tb 2.31-2.32
9 O 0.2570 0.2570 0.3427  1 Pt 2.12, 2 Tb 2.32
10 O 0.3571 0.0463 0.6553  1 Pt 2.12, 2 Tb 2.31-2.32
11 Pt 0.0000 0.0000 0.5000  6 O 2.12

Properties
The calculation puts the volume at 210.3 Å³ per cell. Its uncorrected energy is -6.319 eV/atom. Its space group is C2/m, No. 12. Its spin magnetization is 0.00 μB per formula unit. The calculation puts the uncorrected formation energy at -2.0680 eV per atom.

=====

No. 8
Computed, not measured: an optimized crystal structure of Cs3Tb3PtO8 at the PBE-GGA level of DFT.

a = 6.9379 Å, b = 6.9378 Å, c = 7.9951 Å
α = 115.73°, β = 90.00°, γ = 120.00°
Last column: nearest neighbours and their distance in Å.
Sites, in units of the cell vectors:
1 O 0.7937 0.0505 0.3444  1 Pt 2.14, 2 Tb 2.34
2 O 0.2568 0.0505 0.3444  1 Pt 2.14, 2 Tb 2.34
3 O 0.2799 0.5598 0.3398  3 Tb 2.29
4 O 0.7201 0.4402 0.6602  3 Tb 2.29
5 O 0.2063 0.4126 0.6557  1 Pt 2.14, 2 Tb 2.34
6 O 0.7432 0.9495 0.6556  1 Pt 2.14, 2 Tb 2.34
7 O 0.7937 0.5874 0.3443  1 Pt 2.14, 2 Tb 2.34
8 O 0.2063 0.9495 0.6556  1 Pt 2.14, 2 Tb 2.34
9 Cs 0.0000 0.0000 0.0000  6 O 3.07-3.09
10 Cs 0.0000 0.5000 0.0000  6 O 3.07-3.09
11 Cs 0.5000 0.5000 0.0000  6 O 3.07-3.09
12 Tb 0.5000 0.5000 0.5000  6 O 2.29-2.34
13 Tb 0.5000 0.0000 0.5000  6 O 2.29-2.34
14 Tb 0.0000 0.5000 0.5000  6 O 2.29-2.34
15 Pt 0.0000 0.0000 0.5000  6 O 2.14

Properties
The calculation puts the volume at 288.4 Å³ per cell. Its uncorrected energy is -6.355 eV/atom. Its space group is R-3m, No. 166. Its spin magnetization is 0.00 μB per formula unit. The calculation puts the uncorrected formation energy at -2.2115 eV per atom.

=====

No. 9
Computed, not measured: an optimized crystal structure of CsTc2PtO8 at the PBE-GGA level of DFT.

a = 5.4157 Å, b = 5.4157 Å, c = 9.0531 Å
α = 90.00°, β = 90.00°, γ = 120.00°
Last column: nearest neighbours and their distance in Å.
Sites, in units of the cell vectors:
1 Pt 0.0000 0.0000 0.5000  6 O 2.12
2 O 0.9578 0.6601 0.3650  1 Tc 1.79
3 O 0.6667 0.3333 0.1037  1 Tc 1.75
4 O 0.2976 0.9578 0.6350  1 Tc 1.79
5 O 0.7024 0.0422 0.3650  1 Tc 1.79
6 O 0.3399 0.2976 0.3650  1 Tc 1.79
7 O 0.0422 0.3399 0.6350  1 Tc 1.79
8 O 0.6601 0.7024 0.6350  1 Tc 1.79
9 O 0.3333 0.6667 0.8963  1 Tc 1.75
10 Tc 0.6667 0.3333 0.2971  4 O 1.75-1.79
11 Tc 0.3333 0.6667 0.7029  4 O 1.75-1.79
12 Cs 0.0000 0.0000 0.0000  6 O 3.26

Properties
The calculation puts the volume at 230.0 Å³ per cell. Its uncorrected energy is -6.843 eV/atom. Its space group is P-3, No. 147. Its spin magnetization is 0.00 μB per formula unit. The calculation puts the uncorrected formation energy at -1.2353 eV per atom.

=====

No. 10
Computed, not measured: an optimized crystal structure of CsTe2PtO8 at the PBE-GGA level of DFT.

a = 5.4132 Å, b = 5.4132 Å, c = 9.0635 Å
α = 90.00°, β = 90.00°, γ = 120.00°
Last column: nearest neighbours and their distance in Å.
Sites, in units of the cell vectors:
1 Te 0.6667 0.3333 0.3305  4 O 1.82-1.97
2 Te 0.3333 0.6667 0.6695  4 O 1.82-1.97
3 O 0.3055 0.0098 0.6302  1 Te 1.97, 1 Pt 2.01
4 O 0.6945 0.9902 0.3698  1 Te 1.97, 1 Pt 2.01
5 O 0.7043 0.6945 0.6302  1 Te 1.97, 1 Pt 2.01
6 O 0.2957 0.3055 0.3698  1 Te 1.97, 1 Pt 2.01
7 O 0.6667 0.3333 0.1296  1 Te 1.82
8 O 0.3333 0.6667 0.8704  1 Te 1.82
9 O 0.9902 0.2957 0.6302  1 Te 1.97, 1 Pt 2.01
10 O 0.0098 0.7043 0.3698  1 Te 1.97, 1 Pt 2.01
11 Pt 0.0000 0.0000 0.5000  6 O 2.01
12 Cs 0.0000 0.0000 0.0000  12 O 3.34-3.73

Properties
The calculation puts the volume at 230.0 Å³ per cell. Its uncorrected energy is -5.211 eV/atom. Its space group is P-3, No. 147. Its spin magnetization is 0.68 μB per formula unit. The calculation puts the uncorrected formation energy at -0.8073 eV per atom.

=====

No. 11
Computed, not measured: an optimized crystal structure of Cs5TePtO2 at the PBE-GGA level of DFT.

a = 6.0588 Å, b = 6.0588 Å, c = 9.8346 Å
α = 90.00°, β = 90.00°, γ = 90.00°
Last column: nearest neighbours and their distance in Å.
Sites, in units of the cell vectors:
1 Cs 0.5000 0.0000 0.2256  2 O 3.04
2 Cs 0.5000 0.0000 0.7744  2 O 3.04
3 Cs 0.0000 0.0000 0.5000  2 O 2.96
4 Cs 0.0000 0.5000 0.2256  2 O 3.04
5 Cs 0.0000 0.5000 0.7744  2 O 3.04
6 Te 0.5000 0.5000 0.5000  12 Cs 4.06-4.28
7 Pt 0.0000 0.0000 0.0000  2 O 1.96
8 O 0.0000 0.0000 0.1990  1 Pt 1.96
9 O 0.0000 0.0000 0.8010  1 Pt 1.96

Properties
The calculation puts the volume at 361.0 Å³ per cell. Its uncorrected energy is -3.598 eV/atom. Its space group is P4/mmm, No. 123. Its spin magnetization is 1.01 μB per formula unit. The calculation puts the uncorrected formation energy at -1.0021 eV per atom.

=====

No. 12
Computed, not measured: an optimized crystal structure of CsTePtO6 at the PBE-GGA level of DFT.

a = 5.2968 Å, b = 5.2969 Å, c = 6.9010 Å
α = 90.00°, β = 90.00°, γ = 60.00°
Last column: nearest neighbours and their distance in Å.
Sites, in units of the cell vectors:
1 O 0.6197 0.3756 0.6608  1 Te 1.98, 1 Pt 2.01
2 O 0.3756 0.0047 0.6608  1 Te 1.98, 1 Pt 2.01
3 O 0.3756 0.6197 0.3392  1 Te 1.98, 1 Pt 2.01
4 O 0.0046 0.6197 0.6608  1 Te 1.98, 1 Pt 2.01
5 O 0.0047 0.3756 0.3392  1 Te 1.98, 1 Pt 2.01
6 O 0.6197 0.0047 0.3392  1 Te 1.98, 1 Pt 2.01
7 Te 0.3333 0.3333 0.5000  6 O 1.98
8 Pt 0.6666 0.6667 0.5000  6 O 2.01
9 Cs 0.0000 0.0000 0.0000  6 O 3.08

Properties
The calculation puts the volume at 167.7 Å³ per cell. Its uncorrected energy is -5.368 eV/atom. Its space group is P312, No. 149. Its spin magnetization is 0.99 μB per formula unit. The calculation puts the uncorrected formation energy at -0.9469 eV per atom.